(1)
The following is a PBE calculation of a relaxed structure of LuSi2Pd, from the Open Quantum Materials Database.

Values from the calculation:
M_tot = 0.06 μB/f.u.
Calculated total energy = -5.42 eV per atom

abc: 4.613 4.613 4.613
angles: 60.00 60.00 60.00
Positions (direct):
Pd 0.750 0.750 0.750
Si 0.250 0.250 0.250
Lu 0.500 0.500 0.500
Si 0.000 0.000 0.000


(2)
The following is a PBE calculation of a relaxed structure of NdErAg2Pb2, from the Open Quantum Materials Database.

Values from the calculation:
M_tot = 0.00 μB/f.u.
Calculated total energy = -4.15 eV per atom

abc: 4.831 4.831 7.515
angles: 90.00 90.00 120.00
Positions (direct):
Pb 0.333 0.667 0.265
Er 0.000 0.000 0.992
Nd 0.000 0.000 0.490
Ag 0.333 0.667 0.690
Ag 0.667 0.333 0.173
Pb 0.667 0.333 0.776